[1]
# Cd5Ag3Hg (PBE, optimized geometry)
data_Cd5Ag3Hg
_cell_length_a 9.522
_cell_length_b 8.397
_cell_length_c 11.004
_cell_angle_alpha 90.00
_cell_angle_beta 96.58
_cell_angle_gamma 90.00
_symmetry_space_group_name_H-M 'C 1 2/m 1'
_symmetry_Int_Tables_number 12
loop_
_symmetry_equiv_pos_as_xyz
'x,y,z'
'-x,-y,-z'
'-x,y,-z'
'x,-y,z'
'x+1/2,y+1/2,z'
'-x+1/2,-y+1/2,-z'
'-x+1/2,y+1/2,-z'
'x+1/2,-y+1/2,z'
loop_
_atom_site_label
_atom_site_type_symbol
_atom_site_fract_x
_atom_site_fract_y
_atom_site_fract_z
Cd1 Cd 0.000 0.177 0.000
Cd2 Cd 0.027 0.000 0.317
Cd3 Cd 0.205 0.295 0.659
Cd4 Cd 0.218 0.000 0.866
Ag1 Ag 0.000 0.500 0.000
Ag2 Ag 0.000 0.500 0.500
Ag3 Ag 0.210 0.000 0.544
Ag4 Ag 0.239 0.000 0.127
Hg1 Hg 0.034 0.500 0.255
# - Calculated formation energy: 0.117 eV per atom
# - V: 874.1 Å³ per cell
# - E_tot: -1.375 eV per atom

***

[2]
# GaWAu3 (PBE, optimized geometry)
data_GaWAu3
_cell_length_a 5.112
_cell_length_b 5.112
_cell_length_c 5.112
_cell_angle_alpha 90.00
_cell_angle_beta 90.00
_cell_angle_gamma 90.00
_symmetry_space_group_name_H-M 'P m -3 m'
_symmetry_Int_Tables_number 221
_symmetry_space_group_name_Hall '-P 4 2 3'
loop_
_atom_site_label
_atom_site_type_symbol
_atom_site_fract_x
_atom_site_fract_y
_atom_site_fract_z
Ga1 Ga 0.000 0.000 0.000
W1 W 0.500 0.500 0.500
Au1 Au 0.000 0.500 0.500
# - Calculated formation energy: 1.049 eV per atom
# - V: 133.6 Å³ per cell
# - E_tot: -4.113 eV per atom
# - Relative energy among the computed polymorphs: 0 kJ/mol of formula units

***

[3]
# La2DyInN (PBE, optimized geometry)
data_La2DyInN
_cell_length_a 5.134
_cell_length_b 5.134
_cell_length_c 4.868
_cell_angle_alpha 90.00
_cell_angle_beta 90.00
_cell_angle_gamma 90.00
_symmetry_space_group_name_H-M 'P 4/m m m'
_symmetry_Int_Tables_number 123
_symmetry_space_group_name_Hall '-P 4 2'
loop_
_atom_site_label
_atom_site_type_symbol
_atom_site_fract_x
_atom_site_fract_y
_atom_site_fract_z
La1 La 0.000 0.500 0.000
Dy1 Dy 0.000 0.000 0.500
In1 In 0.500 0.500 0.500
N1 N 0.000 0.000 0.000
# - V: 128.3 Å³ per cell
# - E_tot: -5.997 eV per atom
# - E_form (uncorrected): -4.5 eV/f.u.